(1)
# GGA-PBE CsK2RbZn, optimized geometry
data_CsK2RbZn
_chemical_formula_sum 'Cs1 K2 Rb1 Zn1'
_space_group_name_H-M_alt 'P 1'
_space_group_IT_number 1
_cell_length_a 7.0229
_cell_length_b 7.0229
_cell_length_c 7.2151
_cell_angle_alpha 90.00
_cell_angle_beta 90.00
_cell_angle_gamma 90.00
loop_
_space_group_symop_operation_xyz
'x,y,z'
loop_
_atom_site_label
_atom_site_type_symbol
_atom_site_fract_x
_atom_site_fract_y
_atom_site_fract_z
Cs1 Cs 0.0000 0.0000 0.0000
K1 K 0.0000 0.5000 0.5000
K2 K 0.5000 0.0000 0.5000
Rb1 Rb 0.5000 0.5000 0.0000
Zn1 Zn 0.5000 0.5000 0.5000
# * total moment: 0.000 μB/atom
# * DFT total energy: -0.96 eV per atom
# * Fermi-level density of states: 3.72 states/eV per cell
# * energy relative to the lowest polymorph listed for this composition: 0 meV/atom
# * ΔE_f: 9.16 kJ/mol of atoms

(2)
# GGA-PBE Cs2KRbZn, optimized geometry
data_Cs2KRbZn
_chemical_formula_sum 'Cs2 K1 Rb1 Zn1'
_space_group_name_H-M_alt 'P 1'
_space_group_IT_number 1
_cell_length_a 7.4700
_cell_length_b 7.4700
_cell_length_c 7.2361
_cell_angle_alpha 90.00
_cell_angle_beta 90.00
_cell_angle_gamma 90.00
loop_
_space_group_symop_operation_xyz
'x,y,z'
loop_
_atom_site_label
_atom_site_type_symbol
_atom_site_fract_x
_atom_site_fract_y
_atom_site_fract_z
Cs1 Cs 0.0000 0.5000 0.0000
Cs2 Cs 0.5000 0.0000 0.0000
K1 K 0.0000 0.0000 0.5000
Rb1 Rb 0.5000 0.5000 0.5000
Zn1 Zn 0.5000 0.5000 0.0000
# * total moment: 0.000 μB/atom
# * DFT total energy: -0.91 eV per atom
# * Fermi-level density of states: 5.36 states/eV per cell
# * energy relative to the lowest polymorph listed for this composition: 8 meV/atom
# * ΔE_f: 9.95 kJ/mol of atoms

(3)
# GGA-PBE Cs2KRbZn, optimized geometry
data_Cs2KRbZn
_chemical_formula_sum 'Cs2 K1 Rb1 Zn1'
_space_group_name_H-M_alt 'P 1'
_space_group_IT_number 1
_cell_length_a 7.4939
_cell_length_b 7.4939
_cell_length_c 7.0719
_cell_angle_alpha 90.00
_cell_angle_beta 90.00
_cell_angle_gamma 90.00
loop_
_space_group_symop_operation_xyz
'x,y,z'
loop_
_atom_site_label
_atom_site_type_symbol
_atom_site_fract_x
_atom_site_fract_y
_atom_site_fract_z
Cs1 Cs 0.0000 0.5000 0.0000
Cs2 Cs 0.5000 0.0000 0.0000
K1 K 0.0000 0.0000 0.5000
Rb1 Rb 0.5000 0.5000 0.5000
Zn1 Zn 0.0000 0.0000 0.0000
# * total moment: 0.000 μB/atom
# * DFT total energy: -0.91 eV per atom
# * Fermi-level density of states: 5.33 states/eV per cell
# * energy relative to the lowest polymorph listed for this composition: 0 meV/atom
# * ΔE_f: 9.22 kJ/mol of atoms

(4)
# GGA-PBE CsK2RbZn, optimized geometry
data_CsK2RbZn
_chemical_formula_sum 'Cs1 K2 Rb1 Zn1'
_space_group_name_H-M_alt 'P 1'
_space_group_IT_number 1
_cell_length_a 6.9977
_cell_length_b 6.9977
_cell_length_c 7.3504
_cell_angle_alpha 90.00
_cell_angle_beta 90.00
_cell_angle_gamma 90.00
loop_
_space_group_symop_operation_xyz
'x,y,z'
loop_
_atom_site_label
_atom_site_type_symbol
_atom_site_fract_x
_atom_site_fract_y
_atom_site_fract_z
Cs1 Cs 0.0000 0.0000 0.0000
K1 K 0.0000 0.5000 0.5000
K2 K 0.5000 0.0000 0.5000
Rb1 Rb 0.5000 0.5000 0.0000
Zn1 Zn 0.0000 0.0000 0.5000
# * total moment: 0.000 μB/atom
# * DFT total energy: -0.96 eV per atom
# * Fermi-level density of states: 4.20 states/eV per cell
# * energy relative to the lowest polymorph listed for this composition: 4 meV/atom
# * ΔE_f: 9.58 kJ/mol of atoms

Which formula does entry 3 have?
Cs2KRbZn